VASP calculation (PBE-GGA) on a geometry-optimized Mg17Os12 structure.

a = 10.012 Å, b = 10.012 Å, c = 10.012 Å
α = 90.00°, β = 90.00°, γ = 90.00°
Space group I-43m (No. 217)
Unique sites:
1 Mg 0.000 0.000 0.000 x2
2 Mg 0.036 0.357 0.643 x24
3 Mg 0.179 0.179 0.179 x8
4 Os 0.086 0.086 0.732 x24

ΔH_f (0 K)	1.32	kcal/mol of atoms
crystal system	cubic
DFT total energy	-320.419	eV per cell